Version one
TbPr3Y7 | GGA-PBE | relaxed

Lattice parameters (Å, degrees): 8.9426 10.2788 5.5790 90.00 128.56 106.30
Fractional coordinates of all 11 atoms:
Pr: 0.7846 0.0043 0.2842
Pr: 0.2154 0.9957 0.7158
Pr: 0.0000 0.5000 0.0000
Tb: 0.5000 0.5000 0.5000
Y: 0.6390 0.2875 0.1391
Y: 0.8145 0.6342 0.3145
Y: 0.1855 0.3658 0.6855
Y: 0.9037 0.8290 0.9038
Y: 0.3610 0.7125 0.8609
Y: 0.5000 0.0000 0.5000
Y: 0.0963 0.1710 0.0962

Results
Density, g/cm3: 5.34

Version two
TbPr3Y7 | GGA-PBE | relaxed

Lattice parameters (Å, degrees): 8.7516 7.1473 7.1473 120.00 90.00 90.00
Fractional coordinates of all 11 atoms:
Y: 0.4460 0.8327 0.6654
Y: 0.4460 0.3346 0.1673
Y: 0.1208 0.1675 0.8325
Y: 0.1214 0.6667 0.3333
Y: 0.4460 0.8327 0.1673
Y: 0.1208 0.6649 0.8325
Y: 0.1208 0.1675 0.3351
Pr: 0.7828 0.4998 0.5002
Pr: 0.7828 0.0004 0.5002
Pr: 0.7828 0.4998 0.9996
Tb: 0.4449 0.3333 0.6667

Results
Density, g/cm3: 5.16

Most stable structure - version one; separation to the second - 3.3 kJ/mol of atoms.

Version one
Tb8PrY2 | GGA-PBE | relaxed

Lattice parameters (Å, degrees): 5.5673 8.1514 9.3944 115.71 107.23 90.00
Fractional coordinates of all 11 atoms:
Y: 0.2000 0.7000 0.4000
Y: 0.8000 0.3000 0.6000
Pr: 0.5000 0.0000 0.0000
Tb: 0.6379 0.8435 0.2758
Tb: 0.3621 0.1565 0.7242
Tb: 0.8358 0.8358 0.6717
Tb: 0.0000 0.2947 0.0000
Tb: 0.3621 0.5677 0.7242
Tb: 0.0000 0.7053 0.0000
Tb: 0.6379 0.4323 0.2758
Tb: 0.1642 0.1642 0.3283

Results
Density, g/cm3: 7.28

Version two
Tb8PrY2 | GGA-PBE | relaxed

Lattice parameters (Å, degrees): 5.9537 9.1272 9.5083 61.32 73.40 53.47
Fractional coordinates of all 11 atoms:
Y: 0.0000 0.6895 0.6211
Y: 0.0000 0.3105 0.3789
Tb: 0.2895 0.4422 0.0000
Tb: 0.1976 0.9009 0.7520
Tb: 0.1976 0.6529 0.2480
Tb: 0.8024 0.0991 0.2480
Tb: 0.5000 0.2036 0.5927
Tb: 0.7105 0.5578 0.0000
Tb: 0.8024 0.3471 0.7520
Tb: 0.5000 0.7964 0.4073
Pr: 0.5000 0.0000 0.0000

Results
Density, g/cm3: 7.25

Most stable structure - version one; separation to the second - 3.3 kJ/mol of atoms.

Version one
TbPrY | GGA-PBE | relaxed

Lattice parameters (Å, degrees): 3.6207 3.6207 8.0832 102.94 102.94 90.00
Fractional coordinates of all 3 atoms:
Tb: 0.6653 0.6653 0.3306
Pr: 0.3328 0.3328 0.6655
Y: 0.0019 0.0019 0.0038

Results
Density, g/cm3: 6.42

Version two
TbPrY | GGA-PBE | relaxed

Lattice parameters (Å, degrees): 5.9682 6.3906 6.9385 63.54 64.53 62.16
Fractional coordinates of all 6 atoms:
Tb: 0.4939 0.7559 0.2564
Tb: 0.5061 0.2441 0.7436
Pr: 0.8247 0.5864 0.7642
Pr: 0.1753 0.4136 0.2358
Y: 0.8396 0.0652 0.2556
Y: 0.1604 0.9348 0.7444

Results
Density, g/cm3: 6.42

Most stable structure - version one; separation to the second - 8.3 kJ/mol of atoms.

Version one
TbPrY | GGA-PBE | relaxed

Lattice parameters (Å, degrees): 3.5638 5.6963 5.6963 120.00 90.00 90.00
Fractional coordinates of all 3 atoms:
Tb: 0.1671 0.3333 0.6667
Y: 0.6667 0.6667 0.3333
Pr: 0.1661 0.0000 0.0000

Results
Density, g/cm3: 6.45

Version two
TbPrY | GGA-PBE | relaxed

Lattice parameters (Å, degrees): 3.6191 3.6190 8.8365 90.00 90.00 120.00
Fractional coordinates of all 3 atoms:
Y: 0.7909 0.7722 0.7768
Pr: 0.4577 0.1047 0.1145
Tb: 0.1243 0.4388 0.4513

Results
Density, g/cm3: 6.44

Most stable structure - version two; separation to the second - 4.2 kJ/mol of atoms.

Version one
TbPr2Y | GGA-PBE | relaxed

Lattice parameters (Å, degrees): 5.0913 5.1739 5.1739 90.00 90.00 90.00
Fractional coordinates of all 4 atoms:
Tb: 0.5000 0.5000 0.5000
Pr: 0.0000 0.5000 0.0000
Pr: 0.0000 0.0000 0.5000
Y: 0.5000 0.0000 0.0000

Results
Density, g/cm3: 6.45

Version two
TbPr2Y | GGA-PBE | relaxed

Lattice parameters (Å, degrees): 5.7889 5.7889 5.7889 60.00 60.00 60.00
Fractional coordinates of all 4 atoms:
Pr: 0.2500 0.2500 0.2500
Pr: 0.7500 0.7500 0.7500
Tb: 0.0000 0.0000 0.0000
Y: 0.5000 0.5000 0.5000

Results
Density, g/cm3: 6.41

Most stable structure - version one; separation to the second - 8.4 kJ/mol of atoms.

Version one
TbPr2Y | GGA-PBE | relaxed

Lattice parameters (Å, degrees): 5.8559 7.3653 7.3653 119.51 90.00 90.00
Fractional coordinates of all 8 atoms:
Y: 0.2500 0.4169 0.5831
Y: 0.7500 0.5831 0.4169
Pr: 0.2500 0.9166 0.5851
Pr: 0.7500 0.5851 0.9166
Pr: 0.7500 0.0834 0.4149
Pr: 0.2500 0.4149 0.0834
Tb: 0.7500 0.0826 0.9174
Tb: 0.2500 0.9174 0.0826

Results
Density, g/cm3: 6.36

Version two
TbPr2Y | GGA-PBE | relaxed

Lattice parameters (Å, degrees): 3.6571 3.6571 11.9919 81.23 81.23 60.00
Fractional coordinates of all 4 atoms:
Tb: 0.6673 0.6673 0.9981
Pr: 0.0832 0.0832 0.7504
Pr: 0.2497 0.2497 0.2508
Y: 0.4998 0.4998 0.5007

Results
Density, g/cm3: 6.43

Most stable structure - version two; separation to the second - 0.6 kJ/mol of atoms.

Version one
TbPr2Y | GGA-PBE | relaxed

Lattice parameters (Å, degrees): 3.6492 3.6492 11.9721 81.23 81.23 60.00
Fractional coordinates of all 4 atoms:
Pr: 0.2501 0.2501 0.2496
Pr: 0.7499 0.7499 0.7504
Y: 0.5000 0.5000 0.5000
Tb: 0.0000 0.0000 0.0000

Results
Density, g/cm3: 6.47

Version two
TbPr2Y | GGA-PBE | relaxed

Lattice parameters (Å, degrees): 3.6520 3.6520 10.2409 90.00 90.00 90.00
Fractional coordinates of all 4 atoms:
Tb: 0.5000 0.5000 0.0000
Pr: 0.0000 0.0000 0.2493
Pr: 0.0000 0.0000 0.7507
Y: 0.5000 0.5000 0.5000

Results
Density, g/cm3: 6.44

Most stable structure - version one; separation to the second - 0.9 kJ/mol of atoms.

Version one
Tb4Pr3Y | GGA-PBE | relaxed

Lattice parameters (Å, degrees): 3.5011 6.8336 12.0461 106.56 98.36 90.00
Fractional coordinates of all 8 atoms:
Pr: 0.1272 0.8831 0.2543
Pr: 0.8728 0.1169 0.7457
Pr: 0.0000 0.5000 0.0000
Tb: 0.8749 0.6342 0.7499
Tb: 0.1251 0.3658 0.2501
Tb: 0.7409 0.2507 0.4818
Tb: 0.2591 0.7493 0.5182
Y: 0.5000 0.0000 0.0000

Results
Density, g/cm3: 6.98

Version two
Tb4Pr3Y | GGA-PBE | relaxed

Lattice parameters (Å, degrees): 6.3447 7.3734 11.6251 90.00 90.00 90.00
Fractional coordinates of all 16 atoms:
Tb: 0.6473 0.1208 0.0000
Tb: 0.9802 0.1215 0.7520
Tb: 0.9802 0.1215 0.2480
Tb: 0.4802 0.8785 0.2520
Tb: 0.1473 0.8792 0.5000
Tb: 0.6479 0.1227 0.5000
Tb: 0.4802 0.8785 0.7480
Tb: 0.1479 0.8773 0.0000
Pr: 0.6477 0.6290 0.0000
Pr: 0.4834 0.3730 0.2494
Pr: 0.4834 0.3730 0.7506
Pr: 0.9834 0.6270 0.7494
Pr: 0.1477 0.3710 0.5000
Pr: 0.9834 0.6270 0.2506
Y: 0.1451 0.3707 0.0000
Y: 0.6451 0.6293 0.5000

Results
Density, g/cm3: 7.01

Most stable structure - version two; separation to the second - 12.4 kJ/mol of atoms.

Version one
Tb2Pr4Y | GGA-PBE | relaxed

Lattice parameters (Å, degrees): 7.0154 7.0154 10.7115 90.00 90.00 103.75
Fractional coordinates of all 14 atoms:
Pr: 0.5000 0.0000 0.7502
Pr: 0.0000 0.5000 0.7498
Pr: 0.2008 0.2004 0.0000
Pr: 0.5000 0.0000 0.2498
Pr: 0.0000 0.5000 0.2502
Pr: 0.2004 0.2008 0.5000
Pr: 0.7992 0.7996 0.0000
Pr: 0.7996 0.7992 0.5000
Tb: 0.2939 0.7050 0.0000
Tb: 0.2950 0.7061 0.5000
Tb: 0.7061 0.2950 0.0000
Tb: 0.7050 0.2939 0.5000
Y: 0.5000 0.5000 0.2500
Y: 0.5000 0.5000 0.7500

Results
Density, g/cm3: 6.29

Version two
Tb2Pr4Y | GGA-PBE | relaxed

Lattice parameters (Å, degrees): 12.6929 12.6929 6.8917 97.02 97.02 150.14
Fractional coordinates of all 14 atoms:
Pr: 0.1853 0.7943 0.8972
Pr: 0.5993 0.5615 0.6353
Pr: 0.0391 0.1480 0.6033
Pr: 0.7943 0.1853 0.3972
Pr: 0.1768 0.7145 0.3659
Pr: 0.7145 0.1768 0.8659
Pr: 0.1480 0.0391 0.1033
Pr: 0.5615 0.5993 0.1353
Y: 0.4200 0.6700 0.4999
Y: 0.6700 0.4200 0.9999
Tb: 0.6238 0.3048 0.4521
Tb: 0.9214 0.1025 0.0477
Tb: 0.1025 0.9214 0.5477
Tb: 0.3048 0.6238 0.9521

Results
Density, g/cm3: 6.62

Most stable structure - version two; separation to the second - 12.7 kJ/mol of atoms.

Version one
Tb3PrY7 | GGA-PBE | relaxed

Lattice parameters (Å, degrees): 8.9100 10.0247 5.5799 90.01 128.76 104.94
Fractional coordinates of all 11 atoms:
Y: 0.6472 0.2879 0.1472
Y: 0.0757 0.1690 0.0757
Y: 0.8227 0.6398 0.3227
Y: 0.1773 0.3602 0.6773
Y: 0.5000 0.0000 0.5000
Y: 0.3528 0.7121 0.8528
Y: 0.9243 0.8310 0.9243
Tb: 0.2219 0.0035 0.7221
Tb: 0.0000 0.5000 0.0000
Tb: 0.7781 0.9965 0.2779
Pr: 0.5000 0.5000 0.5000

Results
Density, g/cm3: 5.61

Version two
Tb3PrY7 | GGA-PBE | relaxed

Lattice parameters (Å, degrees): 8.6559 7.1129 7.1129 120.00 90.00 90.00
Fractional coordinates of all 11 atoms:
Y: 0.4494 0.8323 0.6646
Y: 0.1178 0.6667 0.3333
Y: 0.4494 0.3354 0.1677
Y: 0.1159 0.1675 0.3351
Y: 0.1159 0.1675 0.8325
Y: 0.1159 0.6649 0.8325
Y: 0.4494 0.8323 0.1677
Tb: 0.7844 0.5004 0.0008
Tb: 0.7844 0.9992 0.4996
Tb: 0.7844 0.5004 0.4996
Pr: 0.4483 0.3333 0.6667

Results
Density, g/cm3: 5.43

Most stable structure - version one; separation to the second - 5.4 kJ/mol of atoms.

Version one
Tb12PrY7 | GGA-PBE | relaxed

Lattice parameters (Å, degrees): 8.7835 8.7835 8.7835 98.25 98.25 98.25
Each line ends with the local moment (μB).
Fractional coordinates of all 20 atoms:
Tb: 0.6401 0.6401 0.9114  0.05
Tb: 0.7614 0.5000 0.2386  0.09
Tb: 0.0886 0.3599 0.3599  0.05
Tb: 0.2386 0.7614 0.5000  0.09
Tb: 0.6401 0.9114 0.6401  0.05
Tb: 0.9114 0.6401 0.6401  0.05
Tb: 0.5000 0.7614 0.2386  0.09
Tb: 0.2386 0.5000 0.7614  0.09
Tb: 0.5000 0.2386 0.7614  0.09
Tb: 0.7614 0.2386 0.5000  0.09
Tb: 0.3599 0.3599 0.0886  0.05
Tb: 0.3599 0.0886 0.3599  0.05
Y: 0.8965 0.3420 0.8965  0.14
Y: 0.6580 0.1035 0.1035  0.14
Y: 0.5000 0.5000 0.5000  0.03
Y: 0.1035 0.6580 0.1035  0.14
Y: 0.8965 0.8965 0.3420  0.14
Y: 0.1035 0.1035 0.6580  0.14
Y: 0.3420 0.8965 0.8965  0.14
Pr: 0.0000 0.0000 0.0000  0.31

Results
Density, g/cm3: 6.78

Version two
Tb12PrY7 | GGA-PBE | relaxed

Lattice parameters (Å, degrees): 9.8070 9.8070 9.8070 109.47 109.47 109.47
Fractional coordinates of all 20 atoms:
Y: 0.5000 0.5000 0.5000
Y: 0.5000 0.0000 0.0000
Y: 0.5000 0.0000 0.5000
Y: 0.0000 0.0000 0.5000
Y: 0.0000 0.5000 0.5000
Y: 0.5000 0.5000 0.0000
Y: 0.0000 0.5000 0.0000
Tb: 0.7452 0.7445 0.4897
Tb: 0.5103 0.2548 0.2555
Tb: 0.2555 0.0007 0.7452
Tb: 0.2548 0.2555 0.5103
Tb: 0.2548 0.7445 0.9993
Tb: 0.2555 0.5103 0.2548
Tb: 0.7452 0.2555 0.0007
Tb: 0.9993 0.2548 0.7445
Tb: 0.0007 0.7452 0.2555
Tb: 0.7445 0.9993 0.2548
Tb: 0.7445 0.4897 0.7452
Tb: 0.4897 0.7452 0.7445
Pr: 0.0000 0.0000 0.0000

Results
Density, g/cm3: 6.11

Most stable structure - version one; separation to the second - 58.0 kJ/mol of atoms.